Here is a relaxed Ac5PrN6 crystal from the Alexandria database. Energies are from PBE.

a = 6.722 Å, b = 6.722 Å, c = 6.712 Å
α = 99.55°, β = 99.55°, γ = 120.04°
Atoms (fractional coordinates):
Ac 0.000 0.000 0.000
Ac 0.167 0.833 0.500
Ac 0.336 0.664 0.000
Ac 0.664 0.336 0.000
Ac 0.833 0.167 0.500
Pr 0.500 0.500 0.500
N 0.095 0.419 0.255
N 0.259 0.259 0.749
N 0.419 0.095 0.255
N 0.581 0.905 0.745
N 0.741 0.741 0.251
N 0.905 0.581 0.745

Formation energy from raw total energies in eV/f.u.: -13.06
Fermi-level density of states in states/eV per atom: 0.1508
Mass density in kg/m³: 9119
Total magnetic moment in Bohr magnetons per cell: 0.0
Total energy in Ha/atom: -0.271

=====

Here is a relaxed Ac3PrN4 crystal from the Alexandria database. Energies are from PBE.

a = 6.689 Å, b = 6.689 Å, c = 3.858 Å
α = 90.00°, β = 90.00°, γ = 109.46°
Atoms (fractional coordinates):
Ac 0.000 0.000 0.000
Ac 0.000 0.500 0.500
Ac 0.500 0.000 0.500
Pr 0.500 0.500 0.000
N 0.254 0.746 0.000
N 0.256 0.256 0.500
N 0.744 0.744 0.500
N 0.746 0.254 0.000

Formation energy from raw total energies in eV/f.u.: -8.78
Energy above the most stable polymorph in this dataset in kJ/mol of atoms: 0.0
Fermi-level density of states in states/eV per atom: 0.1830
Mass density in kg/m³: 8958
Total magnetic moment in Bohr magnetons per cell: 0.0
Total energy in Ha/atom: -0.272

=====

Here is a relaxed AcPr2N crystal from the Alexandria database. Energies are from PBE.

a = 3.389 Å, b = 3.389 Å, c = 9.132 Å
α = 90.00°, β = 90.00°, γ = 90.00°
Atoms (fractional coordinates):
Ac 0.000 0.000 0.000
Pr 0.500 0.500 0.337
Pr 0.500 0.500 0.663
N 0.000 0.000 0.500

Formation energy from raw total energies in eV/f.u.: -0.08
Energy above the most stable polymorph in this dataset in kJ/mol of atoms: 53.3
Fermi-level density of states in states/eV per atom: 1.2437
Mass density in kg/m³: 8279
Total magnetic moment in Bohr magnetons per cell: 0.0
Total energy in Ha/atom: -0.203

=====

Here is a relaxed AcPr3N4 crystal from the Alexandria database. Energies are from PBE.

a = 5.300 Å, b = 5.300 Å, c = 5.300 Å
α = 90.00°, β = 90.00°, γ = 90.00°
Atoms (fractional coordinates):
Ac 0.000 0.000 0.000
Pr 0.000 0.500 0.500
Pr 0.500 0.000 0.500
Pr 0.500 0.500 0.000
N 0.000 0.000 0.500
N 0.000 0.500 0.000
N 0.500 0.000 0.000
N 0.500 0.500 0.500

Formation energy from raw total energies in eV/f.u.: -9.62
Fermi-level density of states in states/eV per atom: 0.2867
Mass density in kg/m³: 7872
Total magnetic moment in Bohr magnetons per cell: 0.0
Total energy in Ha/atom: -0.282

=====

Here is a relaxed Ac3PrN crystal from the Alexandria database. Energies are from PBE.

a = 5.461 Å, b = 5.461 Å, c = 5.461 Å
α = 90.00°, β = 90.00°, γ = 90.00°
Atoms (fractional coordinates):
Ac 0.000 0.000 0.500
Ac 0.000 0.500 0.000
Ac 0.500 0.000 0.000
Pr 0.500 0.500 0.500
N 0.000 0.000 0.000

Formation energy from raw total energies in eV/f.u.: -1.97
Fermi-level density of states in states/eV per atom: 1.2145
Mass density in kg/m³: 8522
Total magnetic moment in Bohr magnetons per cell: 0.0
Total energy in Ha/atom: -0.201

=====

Here is a relaxed Ac4Pr2N crystal from the Alexandria database. Energies are from PBE.

a = 10.001 Å, b = 10.001 Å, c = 10.001 Å
α = 148.87°, β = 148.87°, γ = 44.60°
Atoms (fractional coordinates):
Ac 0.000 0.500 0.500
Ac 0.138 0.138 0.000
Ac 0.500 0.000 0.500
Ac 0.862 0.862 0.000
Pr 0.340 0.340 0.000
Pr 0.660 0.660 0.000
N 0.000 0.000 0.000

Formation energy from raw total energies in eV/f.u.: -0.93
Fermi-level density of states in states/eV per atom: 1.2861
Mass density in kg/m³: 7502
Total magnetic moment in Bohr magnetons per cell: 0.0
Total energy in Ha/atom: -0.185

=====

Here is a relaxed AcPr4N5 crystal from the Alexandria database. Energies are from PBE.

a = 13.524 Å, b = 13.524 Å, c = 13.524 Å
α = 164.15°, β = 164.15°, γ = 22.49°
Atoms (fractional coordinates):
Ac 0.000 0.000 0.000
Pr 0.201 0.201 0.000
Pr 0.395 0.395 0.000
Pr 0.605 0.605 0.000
Pr 0.799 0.799 0.000
N 0.104 0.104 0.000
N 0.300 0.300 0.000
N 0.500 0.500 0.000
N 0.700 0.700 0.000
N 0.896 0.896 0.000

Formation energy from raw total energies in eV/f.u.: -12.28
Fermi-level density of states in states/eV per atom: 0.0792
Mass density in kg/m³: 7745
Total magnetic moment in Bohr magnetons per cell: 0.0
Total energy in Ha/atom: -0.283

=====

Here is a relaxed Ac3Pr2N4 crystal from the Alexandria database. Energies are from PBE.

a = 3.795 Å, b = 3.795 Å, c = 16.125 Å
α = 90.04°, β = 90.04°, γ = 60.00°
Atoms (fractional coordinates):
Ac 0.000 0.000 0.000
Ac 0.334 0.334 0.376
Ac 0.666 0.666 0.624
Pr 0.333 0.333 0.812
Pr 0.667 0.667 0.188
N 0.001 0.001 0.296
N 0.334 0.334 0.106
N 0.666 0.666 0.894
N 0.999 0.999 0.704

Formation energy from raw total energies in eV/f.u.: -9.37
Fermi-level density of states in states/eV per atom: 0.4757
Mass density in kg/m³: 8411
Total magnetic moment in Bohr magnetons per cell: 0.0
Total energy in Ha/atom: -0.264

=====

Here is a relaxed Ac3PrN3 crystal from the Alexandria database. Energies are from PBE.

a = 7.657 Å, b = 7.657 Å, c = 5.580 Å
α = 90.00°, β = 90.00°, γ = 91.63°
Atoms (fractional coordinates):
Ac 0.116 0.884 0.750
Ac 0.128 0.376 0.750
Ac 0.376 0.128 0.250
Ac 0.624 0.872 0.750
Ac 0.872 0.624 0.250
Ac 0.884 0.116 0.250
Pr 0.355 0.645 0.250
Pr 0.645 0.355 0.750
N 0.125 0.875 0.250
N 0.131 0.388 0.250
N 0.388 0.131 0.750
N 0.612 0.869 0.250
N 0.869 0.612 0.750
N 0.875 0.125 0.750

Formation energy from raw total energies in eV/f.u.: -6.43
Energy above the most stable polymorph in this dataset in kJ/mol of atoms: 0.0
Fermi-level density of states in states/eV per atom: 0.4539
Mass density in kg/m³: 8774
Total magnetic moment in Bohr magnetons per cell: 0.0
Total energy in Ha/atom: -0.255

=====

Here is a relaxed AcPrN4 crystal from the Alexandria database. Energies are from PBE.

a = 4.074 Å, b = 4.074 Å, c = 7.546 Å
α = 114.97°, β = 114.97°, γ = 55.53°
Atoms (fractional coordinates):
Ac 0.000 0.000 0.000
Pr 0.000 0.000 0.500
N 0.394 0.394 0.677
N 0.400 0.400 0.199
N 0.600 0.600 0.801
N 0.606 0.606 0.323

Formation energy from raw total energies in eV/f.u.: -4.15
Fermi-level density of states in states/eV per atom: 0.5499
Mass density in kg/m³: 7755
Total magnetic moment in Bohr magnetons per cell: 0.0
Total energy in Ha/atom: -0.284

=====

Here is a relaxed Ac3PrN3 crystal from the Alexandria database. Energies are from PBE.

a = 8.632 Å, b = 8.632 Å, c = 5.750 Å
α = 90.00°, β = 90.00°, γ = 120.00°
Atoms (fractional coordinates):
Ac 0.165 0.833 0.250
Ac 0.167 0.332 0.250
Ac 0.332 0.165 0.750
Ac 0.668 0.835 0.250
Ac 0.833 0.668 0.750
Ac 0.835 0.167 0.750
Pr 0.333 0.667 0.750
Pr 0.667 0.333 0.250
N 0.169 0.829 0.750
N 0.171 0.340 0.750
N 0.340 0.169 0.250
N 0.660 0.831 0.750
N 0.829 0.660 0.250
N 0.831 0.171 0.250

Formation energy from raw total energies in eV/f.u.: -6.22
Energy above the most stable polymorph in this dataset in kJ/mol of atoms: 2.8
Fermi-level density of states in states/eV per atom: 0.5095
Mass density in kg/m³: 7732
Total magnetic moment in Bohr magnetons per cell: 0.0
Total energy in Ha/atom: -0.254

=====

Here is a relaxed AcPrN2 crystal from the Alexandria database. Energies are from PBE.

a = 6.837 Å, b = 6.837 Å, c = 6.837 Å
α = 31.51°, β = 31.51°, γ = 31.51°
Atoms (fractional coordinates):
Ac 0.000 0.000 0.000
Pr 0.170 0.170 0.170
N 0.434 0.434 0.434
N 0.596 0.596 0.596

Formation energy from raw total energies in eV/f.u.: -3.97
Energy above the most stable polymorph in this dataset in kJ/mol of atoms: 15.2
Mass density in kg/m³: 8480
Total magnetic moment in Bohr magnetons per cell: 0.0
Total energy in Ha/atom: -0.271

=====

Here is a relaxed AcPr4N4 crystal from the Alexandria database. Energies are from PBE.

a = 6.507 Å, b = 6.507 Å, c = 6.507 Å
α = 99.28°, β = 99.28°, γ = 132.64°
Atoms (fractional coordinates):
Ac 0.000 0.000 0.000
Pr 0.183 0.391 0.574
Pr 0.391 0.817 0.208
Pr 0.609 0.183 0.792
Pr 0.817 0.609 0.426
N 0.096 0.695 0.791
N 0.305 0.096 0.401
N 0.695 0.904 0.599
N 0.904 0.305 0.209

Formation energy from raw total energies in eV/f.u.: -10.00
Fermi-level density of states in states/eV per atom: 0.4483
Mass density in kg/m³: 7574
Total magnetic moment in Bohr magnetons per cell: 0.0
Total energy in Ha/atom: -0.272

=====

Here is a relaxed AcPr3N crystal from the Alexandria database. Energies are from PBE.

a = 5.268 Å, b = 5.268 Å, c = 5.268 Å
α = 90.00°, β = 90.00°, γ = 90.00°
Atoms (fractional coordinates):
Ac 0.000 0.000 0.000
Pr 0.000 0.500 0.500
Pr 0.500 0.000 0.500
Pr 0.500 0.500 0.000
N 0.500 0.500 0.500

Formation energy from raw total energies in eV/f.u.: -1.81
Fermi-level density of states in states/eV per atom: 1.3820
Mass density in kg/m³: 7538
Total magnetic moment in Bohr magnetons per cell: 0.0
Total energy in Ha/atom: -0.210

=====

Here is a relaxed AcPr2N2 crystal from the Alexandria database. Energies are from PBE.

a = 6.678 Å, b = 6.678 Å, c = 6.678 Å
α = 147.28°, β = 133.52°, γ = 58.00°
Atoms (fractional coordinates):
Ac 0.000 0.000 0.000
Pr 0.315 0.315 0.000
Pr 0.685 0.685 0.000
N 0.177 0.677 0.500
N 0.823 0.323 0.500

Formation energy from raw total energies in eV/f.u.: -4.83
Fermi-level density of states in states/eV per atom: 0.7259
Mass density in kg/m³: 7697
Total magnetic moment in Bohr magnetons per cell: 0.0
Total energy in Ha/atom: -0.258

=====

Here is a relaxed Ac2Pr3N4 crystal from the Alexandria database. Energies are from PBE.

a = 6.510 Å, b = 6.510 Å, c = 9.390 Å
α = 117.46°, β = 117.46°, γ = 33.40°
Atoms (fractional coordinates):
Ac 0.102 0.102 0.382
Ac 0.898 0.898 0.618
Pr 0.288 0.288 0.178
Pr 0.500 0.500 0.000
Pr 0.712 0.712 0.822
N 0.108 0.108 0.910
N 0.307 0.307 0.705
N 0.693 0.693 0.295
N 0.892 0.892 0.090

Formation energy from raw total energies in eV/f.u.: -9.66
Fermi-level density of states in states/eV per atom: 0.4074
Mass density in kg/m³: 8066
Total magnetic moment in Bohr magnetons per cell: 0.6
Total energy in Ha/atom: -0.268

=====

Here is a relaxed AcPrN2 crystal from the Alexandria database. Energies are from PBE.

a = 6.608 Å, b = 6.608 Å, c = 6.608 Å
α = 33.40°, β = 33.40°, γ = 33.40°
Atoms (fractional coordinates):
Ac 0.000 0.000 0.000
Pr 0.500 0.500 0.500
N 0.246 0.246 0.246
N 0.754 0.754 0.754

Formation energy from raw total energies in eV/f.u.: -4.60
Energy above the most stable polymorph in this dataset in kJ/mol of atoms: 0.0
Fermi-level density of states in states/eV per atom: 0.1918
Mass density in kg/m³: 8444
Total magnetic moment in Bohr magnetons per cell: 0.0
Total energy in Ha/atom: -0.277

=====

Here is a relaxed AcPr3N3 crystal from the Alexandria database. Energies are from PBE.

a = 9.229 Å, b = 9.229 Å, c = 9.229 Å
α = 109.47°, β = 109.47°, γ = 109.47°
Atoms (fractional coordinates):
Ac 0.000 0.000 0.280
Ac 0.000 0.280 0.000
Ac 0.280 0.000 0.000
Ac 0.720 0.720 0.720
Pr 0.000 0.489 0.733
Pr 0.000 0.733 0.489
Pr 0.245 0.511 0.511
Pr 0.267 0.267 0.755
Pr 0.267 0.755 0.267
Pr 0.489 0.000 0.733
Pr 0.489 0.733 0.000
Pr 0.511 0.245 0.511
Pr 0.511 0.511 0.245
Pr 0.733 0.000 0.489
Pr 0.733 0.489 0.000
Pr 0.755 0.267 0.267
N 0.000 0.254 0.508
N 0.000 0.508 0.254
N 0.254 0.000 0.508
N 0.254 0.508 0.000
N 0.254 0.746 0.746
N 0.492 0.492 0.746
N 0.492 0.746 0.492
N 0.508 0.000 0.254
N 0.508 0.254 0.000
N 0.746 0.254 0.746
N 0.746 0.492 0.492
N 0.746 0.746 0.254

Formation energy from raw total energies in eV/f.u.: -7.50
Energy above the most stable polymorph in this dataset in kJ/mol of atoms: 0.0
Fermi-level density of states in states/eV per atom: 0.2512
Mass density in kg/m³: 7593
Total magnetic moment in Bohr magnetons per cell: 2.6
Total energy in Ha/atom: -0.267

=====

Here is a relaxed AcPr2N crystal from the Alexandria database. Energies are from PBE.

a = 9.866 Å, b = 9.866 Å, c = 9.866 Å
α = 21.94°, β = 21.94°, γ = 21.94°
Atoms (fractional coordinates):
Ac 0.000 0.000 0.000
Pr 0.215 0.215 0.215
Pr 0.785 0.785 0.785
N 0.500 0.500 0.500

Formation energy from raw total energies in eV/f.u.: -2.29
Energy above the most stable polymorph in this dataset in kJ/mol of atoms: 0.0
Fermi-level density of states in states/eV per atom: 0.9688
Mass density in kg/m³: 7390
Total magnetic moment in Bohr magnetons per cell: 0.0
Total energy in Ha/atom: -0.223

=====

Here is a relaxed AcPr2N3 crystal from the Alexandria database. Energies are from PBE.

a = 6.542 Å, b = 6.542 Å, c = 6.542 Å
α = 146.57°, β = 132.10°, γ = 59.67°
Atoms (fractional coordinates):
Ac 0.000 0.000 0.000
Pr 0.331 0.331 0.000
Pr 0.669 0.669 0.000
N 0.175 0.675 0.500
N 0.500 0.000 0.500
N 0.825 0.325 0.500

Formation energy from raw total energies in eV/f.u.: -7.15
Fermi-level density of states in states/eV per atom: 0.1995
Mass density in kg/m³: 8065
Total magnetic moment in Bohr magnetons per cell: 0.0
Total energy in Ha/atom: -0.280